[1]
A relaxed Tl2GaPb8 crystal. Source: Alexandria via LeMat-Bulk, functional PBE.

a b c (Å): 18.154 4.804 7.957
angles (deg): 90.00 103.96 90.00
Space group C2/m (No. 12)
One atom of each set of equivalent atoms:
Tl  0.228  0.000  0.136 x4
Ga  0.000  0.500  0.500 x2
Pb  0.042  0.000  0.239 x4
Pb  0.088  0.500  0.956 x4
Pb  0.131  0.000  0.673 x4
Pb  0.179  0.500  0.409 x4

Magnetic moment in μB/atom: 0.00
E_tot in eV/atom: -3.39
Calculated formation energy in kJ/mol of atoms: 1.61


[2]
A relaxed Tl5GaPb6 crystal. Source: Alexandria via LeMat-Bulk, functional PBE.

a b c (Å): 11.319 10.484 6.195
angles (deg): 90.00 96.57 90.00
Space group C2/m (No. 12)
One atom of each set of equivalent atoms:
Tl  0.000  0.000  0.000 x2
Tl  0.000  0.170  0.500 x4
Tl  0.000  0.335  0.000 x4
Ga  0.000  0.500  0.500 x2
Pb  0.240  0.500  0.261 x4
Pb  0.244  0.336  0.747 x8

Magnetic moment in μB/atom: 0.00
E_tot in eV/atom: -3.07
Calculated formation energy in kJ/mol of atoms: 2.09